! GGA+U Cs3CaV2O8, optimized geometry; values from VASP
! Energy, eV/atom: -6.280
! Size of the total moment, μB/f.u.: 1.112
&SYSTEM
  ibrav = 0, nat = 14, ntyp = 4
/
ATOMIC_SPECIES
Cs 132.91 Cs.upf
Ca 40.08 Ca.upf
V 50.94 V.upf
O 16.00 O.upf
CELL_PARAMETERS angstrom
6.283 0.000 0.000
-3.142 5.441 0.000
0.000 0.000 8.364
ATOMIC_POSITIONS crystal
Cs 0.000 0.000 0.000
Cs 0.333 0.667 0.708
Cs 0.667 0.333 0.292
Ca 0.000 0.000 0.500
V 0.333 0.667 0.269
V 0.667 0.333 0.731
O 0.180 0.361 0.336
O 0.180 0.820 0.336
O 0.333 0.667 0.064
O 0.361 0.180 0.664
O 0.639 0.820 0.336
O 0.667 0.333 0.936
O 0.820 0.180 0.664
O 0.820 0.639 0.664



! GGA+U CsCa3V4O12, optimized geometry; values from VASP
! Energy, eV/atom: -6.906
! Size of the total moment, μB/f.u.: 3.000
&SYSTEM
  ibrav = 0, nat = 20, ntyp = 4
/
ATOMIC_SPECIES
Cs 132.91 Cs.upf
Ca 40.08 Ca.upf
V 50.94 V.upf
O 16.00 O.upf
CELL_PARAMETERS angstrom
5.979 3.452 2.777
-5.979 3.452 2.777
0.000 -6.904 2.777
ATOMIC_POSITIONS crystal
Cs 0.000 0.000 0.000
Ca 0.000 0.564 0.436
Ca 0.436 0.000 0.564
Ca 0.564 0.436 0.000
V 0.068 0.500 0.932
V 0.500 0.500 0.500
V 0.500 0.932 0.068
V 0.932 0.068 0.500
O 0.065 0.634 0.778
O 0.078 0.922 0.500
O 0.222 0.366 0.935
O 0.354 0.646 0.500
O 0.366 0.935 0.222
O 0.500 0.078 0.922
O 0.500 0.354 0.646
O 0.634 0.778 0.065
O 0.646 0.500 0.354
O 0.778 0.065 0.634
O 0.922 0.500 0.078
O 0.935 0.222 0.366